No. 1
Below is a relaxed structure of CeBrN, with properties calculated at the GGA-PBE level.

Calculated values
magnetization = 0.0000 μB/atom
ΔE_f (raw) = -1450 meV/atom

a b c (Å): 3.8507 3.8507 4.9155
angles (deg): 90.00 90.00 120.00
Fractional coordinates of all 3 atoms:
Ce 0.6667 0.3333 0.4995
N 0.3333 0.6667 0.5001
Br 0.0000 0.0000 0.0004

=====

No. 2
Below is a relaxed structure of SbPS2Cl, with properties calculated at the GGA-PBE level.

Calculated values
magnetization = 0.0000 μB/atom
ΔE_f (raw) = 256 meV/atom
energy above the lowest structure with this stoichiometry = 0 meV/atom
DOS at the Fermi energy = 3.0 states/eV/cell

a b c (Å): 4.6940 4.6940 4.5694
angles (deg): 90.00 90.00 90.00
Fractional coordinates of all 5 atoms:
P 0.0000 0.0000 0.0000
Sb 0.5000 0.5000 0.5000
S 0.5000 0.0000 0.0000
Cl 0.0000 0.0000 0.5000
S 0.0000 0.5000 0.0000

=====

No. 3
Below is a relaxed structure of NaPr2Nd, with properties calculated at the GGA-PBE level.

Calculated values
magnetization = 0.0003 μB/atom
energy above the lowest structure with this stoichiometry = 6 meV/atom
ΔE_f = 95 meV/atom
DOS at the Fermi energy = 5.2 states/eV/cell

a b c (Å): 3.6854 3.6854 12.5714
angles (deg): 81.57 81.57 60.00
Fractional coordinates of all 4 atoms:
Pr 0.2470 0.2470 0.2591
Na 0.6667 0.6667 0.9998
Nd 0.5000 0.5000 0.5001
Pr 0.0863 0.0863 0.7410

=====

No. 4
Below is a relaxed structure of RbMgMnCl5, with properties calculated at the GGA-PBE level.

Calculated values
magnetization = 0.6250 μB/atom
ΔE_f (raw) = -1595 meV/atom
DOS at the Fermi energy = 0.0 states/eV/cell

a b c (Å): 7.4076 7.4076 9.3545
angles (deg): 102.77 102.77 106.97
Fractional coordinates of all 16 atoms:
Mg 0.0000 0.0000 0.0000
Mn 0.3113 0.6887 0.7500
Cl 0.2991 0.9043 0.5984
Cl 0.7646 0.6246 0.4297
Cl 0.9043 0.2991 0.0984
Cl 0.9380 0.0620 0.7500
Mn 0.6887 0.3113 0.2500
Cl 0.0957 0.7009 0.9016
Cl 0.7009 0.0957 0.4016
Rb 0.3383 0.6617 0.2500
Cl 0.2354 0.3754 0.5703
Cl 0.3754 0.2354 0.0703
Cl 0.0620 0.9380 0.2500
Mg 0.0000 0.0000 0.5000
Cl 0.6246 0.7646 0.9297
Rb 0.6617 0.3383 0.7500

=====

No. 5
Below is a relaxed structure of La2IrRh2, with properties calculated at the GGA-PBE level.

Calculated values
magnetization = 0.0001 μB/atom
energy above the lowest structure with this stoichiometry = 162 meV/atom
ΔE_f = -383 meV/atom
DOS at the Fermi energy = 4.6 states/eV/cell

a b c (Å): 8.6031 8.6031 8.6031
angles (deg): 155.15 155.15 35.43
Fractional coordinates of all 5 atoms:
La 0.3954 0.3954 0.0000
Rh 0.7500 0.2500 0.5000
Rh 0.2500 0.7500 0.5000
Ir 0.0000 0.0000 0.0000
La 0.6046 0.6046 0.0000

=====

No. 6
Below is a relaxed structure of BOF3, with properties calculated at the GGA-PBE level.

Calculated values
magnetization = 0.2000 μB/atom
ΔE_f (raw) = -2219 meV/atom
energy above the lowest structure with this stoichiometry = 0 meV/atom
DOS at the Fermi energy = 0.0 states/eV/cell

a b c (Å): 4.9259 9.2870 9.1924
angles (deg): 125.63 90.00 90.00
Fractional coordinates of all 20 atoms:
B 0.7386 0.8707 0.0512
F 0.5080 0.6361 0.4533
F 0.0080 0.8639 0.0467
F 0.4008 0.1931 0.0985
O 0.4035 0.4564 0.9511
F 0.4920 0.3639 0.5467
F 0.5992 0.8069 0.9015
B 0.7614 0.3707 0.5512
O 0.0965 0.9564 0.4511
O 0.5965 0.5436 0.0489
O 0.9035 0.0436 0.5489
F 0.9008 0.3069 0.4015
F 0.8914 0.4408 0.7051
F 0.3914 0.0592 0.7949
F 0.9920 0.1361 0.9533
F 0.0992 0.6931 0.5985
F 0.6086 0.9408 0.2051
F 0.1086 0.5592 0.2949
B 0.2614 0.1293 0.9488
B 0.2386 0.6293 0.4488

=====

No. 7
Below is a relaxed structure of CsHf3Ti, with properties calculated at the GGA-PBE level.

Calculated values
magnetization = 0.0000 μB/atom
ΔE_f = 1251 meV/atom
DOS at the Fermi energy = 10.5 states/eV/cell

a b c (Å): 5.2333 5.2333 5.2333
angles (deg): 90.00 90.00 90.00
Fractional coordinates of all 5 atoms:
Hf 0.0000 0.0000 0.5000
Cs 0.5000 0.5000 0.5000
Hf 0.5000 0.0000 0.0000
Ti 0.0000 0.0000 0.0000
Hf 0.0000 0.5000 0.0000

=====

No. 8
Below is a relaxed structure of RePb2Br, with properties calculated at the GGA-PBE level.

Calculated values
magnetization = 0.0000 μB/atom
ΔE_f (raw) = 909 meV/atom
energy above the lowest structure with this stoichiometry = 352 meV/atom
DOS at the Fermi energy = 5.1 states/eV/cell

a b c (Å): 6.6315 6.6315 8.1979
angles (deg): 66.14 66.14 90.00
Fractional coordinates of all 8 atoms:
Br 0.5000 0.5000 0.0000
Pb 0.7005 0.1250 0.2500
Re 0.7500 0.2500 0.5000
Pb 0.0495 0.6250 0.2500
Pb 0.8750 0.9505 0.7500
Pb 0.3750 0.2995 0.7500
Br 0.2500 0.7500 0.5000
Re 0.0000 0.0000 0.0000